(1)
Below is crystalline Tb3Sm2YSe6 at its relaxed geometry, with properties calculated at the PBE level.

Properties
Fermi-level density of states ... 0.470 states/eV/atom
Formation energy (no corrections) ... -1787 meV per atom

Lattice parameters (Å, degrees): 4.1045 8.2815 9.2075 103.14 102.88 90.00
Positions (direct):
Tb 0.8313 0.1672 0.6626
Sm 0.1679 0.3353 0.3357
Tb 0.1687 0.8328 0.3374
Se 0.3346 0.9223 0.6692
Tb 0.5000 0.5000 0.0000
Se 0.9980 0.2482 0.9960
Se 0.6654 0.0777 0.3308
Se 0.3356 0.4129 0.6711
Se 0.6644 0.5871 0.3289
Y 0.5000 0.0000 0.0000
Sm 0.8321 0.6647 0.6643
Se 0.0020 0.7518 0.0040


(2)
Below is crystalline In2Ga2Pt at its relaxed geometry, with properties calculated at the PBE level.

Properties
Fermi-level density of states ... 0.341 states/eV/atom
Formation energy from the elements ... -153 meV/atom

Lattice parameters (Å, degrees): 6.6671 6.6671 4.6885 90.00 90.00 90.00
Positions (direct):
Pt 0.0000 0.0000 0.0000
Ga 0.1426 0.3574 0.0000
In 0.1757 0.6757 0.5000
Ga 0.6426 0.1426 0.0000
Pt 0.5000 0.5000 0.0000
Ga 0.8574 0.6426 0.0000
In 0.8243 0.3243 0.5000
In 0.3243 0.1757 0.5000
In 0.6757 0.8243 0.5000
Ga 0.3574 0.8574 0.0000


(3)
Below is crystalline Ce2LuFe at its relaxed geometry, with properties calculated at the PBE level.

Properties
Fermi-level density of states ... 2.740 states/eV/atom
Formation energy from the elements ... 129 meV/atom

Lattice parameters (Å, degrees): 3.4475 3.4475 8.1864 90.00 90.00 90.00
Each line ends with the local moment (μB).
Positions (direct):
Lu 0.5000 0.5000 0.5000  0.07
Ce 0.0000 0.0000 0.1956  -0.53
Fe 0.5000 0.5000 0.0000  1.53
Ce 0.0000 0.0000 0.8044  -0.53


(4)
Below is crystalline CePaMnZn at its relaxed geometry, with properties calculated at the PBE level.

Properties
Fermi-level density of states ... 0.476 states/eV/atom
Formation energy from the elements ... 41 meV/atom

Lattice parameters (Å, degrees): 4.7120 4.7120 4.7120 60.00 60.00 60.00
Each line ends with the local moment (μB).
Positions (direct):
Ce 0.0000 0.0000 0.0000  -0.63
Zn 0.2500 0.2500 0.2500  -0.01
Mn 0.5000 0.5000 0.5000  1.42
Pa 0.7500 0.7500 0.7500  -0.65


(5)
Below is crystalline La6NdEr4 at its relaxed geometry, with properties calculated at the PBE level.

Properties
Fermi-level density of states ... 1.713 states/eV/atom
Formation energy from the elements ... 97 meV/atom

Lattice parameters (Å, degrees): 5.9044 5.7546 26.3599 90.00 90.00 120.87
Positions (direct):
La 0.8122 0.6244 0.0955
La 0.8632 0.7265 0.8191
La 0.1878 0.3756 0.9045
La 0.1368 0.2735 0.1809
Er 0.8433 0.6866 0.5457
La 0.5000 0.0000 0.0000
Er 0.5279 0.0558 0.8753
Er 0.8433 0.6866 0.9543
La 0.5373 0.0745 0.7500
La 0.8122 0.6244 0.4045
Er 0.4721 0.9442 0.1247
Nd 0.1977 0.3954 0.7500
Er 0.1567 0.3134 0.0457
La 0.4627 0.9255 0.2500
Er 0.4721 0.9442 0.3753
La 0.8632 0.7265 0.6809
Nd 0.8023 0.6046 0.2500
La 0.1878 0.3756 0.5955
Er 0.5279 0.0558 0.6247
Er 0.1567 0.3134 0.4543
La 0.5000 0.0000 0.5000
La 0.1368 0.2735 0.3191


(6)
Below is crystalline LiCaAu10 at its relaxed geometry, with properties calculated at the PBE level.

Properties
Fermi-level density of states ... 0.269 states/eV/atom
Formation energy from the elements ... -282 meV/atom

Lattice parameters (Å, degrees): 4.6858 5.5380 9.7093 90.00 90.00 90.00
Positions (direct):
Au 0.5000 0.2481 0.7513
Au 0.0000 0.0000 0.6612
Li 0.0000 0.5000 0.5000
Au 0.0000 0.0000 0.3388
Ca 0.0000 0.0000 0.0000
Au 0.5000 0.2481 0.2487
Au 0.5000 0.0000 0.5000
Au 0.5000 0.7519 0.2487
Au 0.5000 0.5000 0.0000
Au 0.0000 0.5000 0.8271
Au 0.0000 0.5000 0.1729
Au 0.5000 0.7519 0.7513


(7)
Below is crystalline TbCoCuSn at its relaxed geometry, with properties calculated at the PBE level.

Properties
Fermi-level density of states ... 0.833 states/eV/atom
Formation energy from the elements ... -250 meV/atom

Lattice parameters (Å, degrees): 4.6439 4.6439 4.6439 60.00 60.00 60.00
Each line ends with the local moment (μB).
Positions (direct):
Cu 0.5000 0.5000 0.5000  0.05
Sn 0.2500 0.2500 0.2500  0.02
Co 0.0000 0.0000 0.0000  1.01
Tb 0.7500 0.7500 0.7500  -0.01


(8)
Below is crystalline PmDyI4 at its relaxed geometry, with properties calculated at the PBE level.

Properties
Fermi-level density of states ... 0.569 states/eV/atom
Formation energy (no corrections) ... -1243 meV per atom

Lattice parameters (Å, degrees): 4.1664 7.2352 8.4170 106.00 90.00 90.00
Positions (direct):
I 0.5000 0.2452 0.2509
Pm 0.0000 0.5000 0.5000
I 0.5000 0.7548 0.7491
Dy 0.5000 0.0000 0.5000
I 0.0000 0.2378 0.7432
I 0.0000 0.7622 0.2568


(9)
Below is crystalline LaCo2 at its relaxed geometry, with properties calculated at the PBE level.

Properties
Fermi-level density of states ... 1.189 states/eV/atom
Formation energy from the elements ... 40 meV/atom

Lattice parameters (Å, degrees): 3.9549 3.9549 9.1309 90.29 90.29 60.05
Each line ends with the local moment (μB).
Positions (direct):
La 0.3328 0.3328 0.7005  -0.11
Co 0.3333 0.3333 0.0195  1.49
Co 0.6667 0.6667 0.9805  1.49
Co 0.0009 0.0009 0.1271  0.70
Co 0.9991 0.9991 0.8729  0.70
La 0.6672 0.6672 0.2995  -0.11


(10)
Below is crystalline TcNiP2Se at its relaxed geometry, with properties calculated at the PBE level.

Properties
Fermi-level density of states ... 0.659 states/eV/atom
Formation energy (no corrections) ... -233 meV per atom

Lattice parameters (Å, degrees): 3.2910 2.8693 16.9154 90.00 90.00 90.00
Positions (direct):
P 0.0000 0.5000 0.1267
Tc 0.5000 0.5000 0.5649
P 0.0000 0.0000 0.6267
Tc 0.5000 0.0000 0.0649
Se 0.0000 0.0000 0.7704
Ni 0.0000 0.5000 0.4166
P 0.5000 0.0000 0.4496
Ni 0.0000 0.0000 0.9166
Se 0.0000 0.5000 0.2704
P 0.5000 0.5000 0.9496